Entry 1:
LiSm4Hg5: relaxed, PBE.

abc: 3.732 3.732 18.593
angles: 90.00 90.00 90.00
Space group P4/mmm (No. 123)
Inequivalent atoms, fractional coordinates:
Li  0.000  0.000  0.000
Sm  0.000  0.000  0.188
Sm  0.000  0.000  0.395
Hg  0.500  0.500  0.085
Hg  0.500  0.500  0.293
Hg  0.500  0.500  0.500

Output
* DOS at the Fermi energy: 1.05 states/eV/atom
* theoretical density: 10.33 Mg/m³
* ΔE_f: -0.43 eV per atom

Entry 2:
LiSmHg3: relaxed, PBE.

abc: 4.877 4.877 4.877
angles: 90.00 90.00 90.00
Space group Pm-3m (No. 221)
Inequivalent atoms, fractional coordinates:
Li  0.000  0.000  0.000
Sm  0.500  0.500  0.500
Hg  0.000  0.000  0.500

Output
* DOS at the Fermi energy: 0.62 states/eV/atom
* theoretical density: 10.86 Mg/m³
* ΔE_f: -0.22 eV per atom